The following is a DFT calculation (PBE) of Ni2TeI after structural relaxation.

Lattice parameters (Å, degrees): 5.8399 5.8399 6.9880 65.30 65.30 90.00
Closest atoms and distances in Å follow each position.
Fractional positions:
Ni 0.8750 0.8653 0.7500  2 Te 2.47, 2 I 2.53
Ni 0.3750 0.3847 0.7500  2 Te 2.47, 2 I 2.53
Ni 0.1347 0.6250 0.2500  2 Te 2.47, 2 I 2.53
I 0.0000 0.0000 0.0000  4 Ni 2.53
Te 0.5000 0.5000 0.0000  4 Ni 2.47
I 0.7500 0.2500 0.5000  4 Ni 2.53
Ni 0.6153 0.1250 0.2500  2 Te 2.47, 2 I 2.53
Te 0.2500 0.7500 0.5000  4 Ni 2.47

Results
The final energy comes out at -4.02 eV per atom. The space-group type is I-42d (122). For the polymorph energy (0 for the lowest one), the calculation gives 0.089 eV/atom. The calculation puts the density of states at the Fermi level at 11.20 states/eV/cell.